This record from the Alexandria database describes a geometry-optimized Dy3SiB2Pt9 structure. The functional is GGA-PBE.

Space group: P-3m1 (164)
Energy relative to the elements, uncorrected, eV/atom: -0.893
Fermi-level density of states, states/eV per cell: 5.33

Cell lengths 5.7347, 5.7347, 9.0596 Å; angles 90.00, 90.00, 120.00 degrees
Closest atoms and distances in Å follow each position.
Element x y z (fractional)
Dy  0.3333  0.6667  0.6014  9 Pt 3.02-3.24
Dy  0.0000  0.0000  0.0000  12 Pt 2.87-3.13
Dy  0.6667  0.3333  0.3986  9 Pt 3.02-3.24
Si  0.0000  0.0000  0.5000  6 Pt 2.47
B  0.3333  0.6667  0.1513  6 Pt 2.13-2.15
B  0.6667  0.3333  0.8487  6 Pt 2.13-2.15
Pt  0.8357  0.1643  0.7048  1 B 2.13
Pt  0.8357  0.6713  0.7048  1 B 2.13
Pt  0.3287  0.1643  0.7048  1 B 2.13
Pt  0.6713  0.8357  0.2952  1 B 2.13
Pt  0.1643  0.3287  0.2952  1 B 2.13
Pt  0.1643  0.8357  0.2952  1 B 2.13
Pt  0.5000  0.0000  0.0000  2 B 2.15
Pt  0.0000  0.5000  0.0000  2 B 2.15
Pt  0.5000  0.5000  0.0000  2 B 2.15